15
Lattice="6.165 0.000 0.000 -3.083 5.339 0.000 0.000 0.000 8.056" Properties=species:S:1:pos:R:3 comment="K3Mn2PbF9 GGA+U optimized geometry" dos_at_fermi_per_ev_cell=0.0 dft_energy_ev_per_atom=-5.252 space_group="No. 164" pbc="T T T"
K 0.000 3.559 5.819
K 0.000 0.000 0.000
K 3.083 1.780 2.238
Mn 0.000 3.559 1.248
Mn 3.083 1.780 6.808
Pb 0.000 0.000 4.028
F 4.587 0.911 5.628
F 3.083 3.517 5.628
F 1.578 0.911 5.628
F 1.505 4.428 2.429
F 0.000 1.822 2.429
F -1.505 4.428 2.429
F 3.083 0.000 0.000
F -1.541 2.670 0.000
F 1.541 2.670 0.000